! HgPd5Au6 PBE relaxed; values from VASP
! - Fermi-level density of states: 5.7 states/eV per cell
! - Volume: 17.104 Å³ per atom
! - E_form: -0.081 eV/atom
! - Calculated density: 15.49 Mg/m³
&SYSTEM
  ibrav = 0, nat = 12, ntyp = 3
/
ATOMIC_SPECIES
Au 196.97 Au.upf
Hg 200.59 Hg.upf
Pd 106.42 Pd.upf
CELL_PARAMETERS angstrom
-0.843 -2.227 3.396
5.235 -5.705 -2.440
2.295 6.812 2.503
ATOMIC_POSITIONS crystal
Au 0.831 0.574 0.662
Au 0.831 0.088 0.662
Au 0.500 0.737 0.000
Au 0.500 0.263 0.000
Au 0.169 0.912 0.338
Au 0.169 0.426 0.338
Hg 0.000 0.000 0.000
Pd 0.662 0.162 0.324
Pd 0.329 0.329 0.658
Pd 0.000 0.500 0.000
Pd 0.671 0.671 0.342
Pd 0.338 0.838 0.676